No. 1
Below is crystalline ErThCuRe at its relaxed geometry, with properties calculated at the PBE-GGA level.

Calculated total energy   -7.18 eV per atom
ΔH_f (0 K)   -0.051 eV per atom
Symmetry   F-43m (216)

Cell lengths 4.951, 4.951, 4.951 Å; angles 60.00, 60.00, 60.00 degrees
Positions (direct):
Re 0.750 0.750 0.750
Cu 0.250 0.250 0.250
Er 0.500 0.500 0.500
Th 0.000 0.000 0.000


No. 2
Below is crystalline Pr2AsPt at its relaxed geometry, with properties calculated at the PBE-GGA level.

Calculated total energy   -6.30 eV per atom
E above lowest polymorph   0.00 kJ per mole of atoms
ΔH_f (0 K)   -1.234 eV per atom
Symmetry   Cmcm (63)

Cell lengths 4.347, 4.150, 12.087 Å; angles 99.88, 90.00, 90.00 degrees
Positions (direct):
As 0.250 0.188 0.376
Pr 0.250 0.064 0.129
Pr 0.250 0.315 0.630
Pr 0.750 0.685 0.370
Pt 0.750 0.541 0.082
As 0.750 0.812 0.624
Pr 0.750 0.936 0.871
Pt 0.250 0.459 0.918


No. 3
Below is crystalline KSmTl2F6 at its relaxed geometry, with properties calculated at the PBE-GGA level.

Calculated total energy   -5.08 eV per atom
Energy relative to the elements, uncorrected   -2.900 eV per atom
Symmetry   R3 (146)

Cell lengths 6.718, 6.719, 6.745 Å; angles 60.11, 60.12, 59.98 degrees
Positions (direct):
Tl 0.540 0.540 0.380
Sm 0.315 0.315 0.055
F 0.128 0.445 0.787
F 0.001 0.572 0.254
F 0.445 0.640 0.787
Tl 0.038 0.038 0.885
F 0.640 0.127 0.788
F 0.173 0.001 0.254
K 0.810 0.810 0.571
F 0.572 0.173 0.254


Number 1: total magnetization 0.0 μB/f.u.. Number 2: total magnetization 0.0 μB/f.u.. Number 3: total magnetization 0.0 μB/f.u..